HfNbVFe, relaxed, DFT GGA-PBE; electronic total energy = -9.411 eV/atom; magnetic moment = 1.50 Bohr magnetons per cell; formation energy = -0.04 eV per formula unit; symmetry = F-43m (216)
1.0
4.4660 0.0000 0.0000
2.2330 3.8677 0.0000
2.2330 1.2892 3.6465
V Hf Nb Fe
1 1 1 1
Direct
0.7500 0.7500 0.7500
0.5000 0.5000 0.5000
0.0000 0.0000 0.0000
0.2500 0.2500 0.2500